First-principles (GGA-PBE) data for a geometry-optimized TbScSe structure, as listed in the Alexandria database.

Output
**ΔE to the lowest computed polymorph**: 0.0 meV per atom

Cell: 3.7717 3.7717 6.2482 Å, 90.00 90.00 120.00°
With the nearest neighbours (Å) after each atom.
Fractional positions:
Se 0.3333 0.6667 0.6517  3 Sc 2.71, 3 Tb 2.88
Sc 0.6667 0.3333 0.3945  3 Se 2.71
Tb 0.0000 0.0000 0.9537  3 Se 2.88



First-principles (GGA-PBE) data for a geometry-optimized Tb4Sc3Se8 structure, as listed in the Alexandria database.

Cell: 8.0091 7.9809 7.9809 Å, 90.03 120.11 120.11°
With the nearest neighbours (Å) after each atom.
Fractional positions:
Tb 0.5000 0.0000 0.0000  6 Se 2.88
Tb 0.0000 0.0000 0.0000  6 Se 2.90
Sc 0.5000 0.0000 0.5000  6 Se 2.82
Sc 0.5000 0.5000 0.5000  6 Se 2.76
Se 0.9891 0.7376 0.7376  1 Sc 2.76, 4 Tb 2.82-2.90
Se 0.5000 0.7445 0.2555  3 Sc 2.76-2.82, 3 Tb 2.82-2.88
Se 0.5000 0.2555 0.7445  3 Sc 2.76-2.82, 3 Tb 2.82-2.88
Se 0.0109 0.2624 0.2624  1 Sc 2.76, 4 Tb 2.82-2.90
Se 0.0000 0.7433 0.2567  3 Tb 2.82-2.90, 2 Sc 2.82
Tb 0.0000 0.0000 0.5000  6 Se 2.82
Se 0.4865 0.7378 0.7378  3 Sc 2.76-2.82, 2 Tb 2.88-2.90
Se 0.5135 0.2622 0.2622  3 Sc 2.76-2.82, 2 Tb 2.88-2.90
Sc 0.5000 0.5000 0.0000  6 Se 2.82
Se 0.0000 0.2567 0.7433  3 Tb 2.82-2.90, 2 Sc 2.82
Tb 0.0000 0.5000 0.0000  6 Se 2.82



First-principles (GGA-PBE) data for a geometry-optimized TbSc5Se6 structure, as listed in the Alexandria database.

Cell: 6.7781 6.7781 6.7843 Å, 99.54 99.54 120.18°
With the nearest neighbours (Å) after each atom.
Fractional positions:
Se 0.4307 0.0850 0.2575  5 Sc 2.75-2.78, 1 Tb 2.86
Se 0.9150 0.5693 0.7425  5 Sc 2.75-2.78, 1 Tb 2.86
Se 0.7395 0.7395 0.2522  5 Sc 2.69-2.73, 1 Tb 2.83
Se 0.0850 0.4307 0.2575  5 Sc 2.75-2.78, 1 Tb 2.86
Sc 0.5000 0.5000 0.5000  6 Se 2.69-2.78
Sc 0.8425 0.1575 0.5000  6 Se 2.72-2.77
Se 0.5693 0.9150 0.7425  5 Sc 2.75-2.78, 1 Tb 2.86
Sc 0.3355 0.6645 0.0000  6 Se 2.73-2.78
Tb 0.0000 0.0000 0.0000  6 Se 2.83-2.86
Se 0.2605 0.2605 0.7478  5 Sc 2.69-2.73, 1 Tb 2.83
Sc 0.1575 0.8425 0.5000  6 Se 2.72-2.77
Sc 0.6645 0.3355 0.0000  6 Se 2.73-2.78



First-principles (GGA-PBE) data for a geometry-optimized TbSc2Se structure, as listed in the Alexandria database.

Output
**ΔE to the lowest computed polymorph**: 0.0 meV per atom

Cell: 3.7506 5.9165 8.8222 Å, 90.00 90.00 108.47°
With the nearest neighbours (Å) after each atom.
Fractional positions:
Se 0.2343 0.4684 0.2500  6 Sc 2.82-2.95, 2 Tb 3.00
Tb 0.9426 0.8854 0.2500  3 Se 3.00-3.27, 4 Sc 3.33
Sc 0.3590 0.7183 0.9564  3 Se 2.82-2.95
Sc 0.3590 0.7183 0.5436  3 Se 2.82-2.95
Sc 0.6410 0.2817 0.0436  3 Se 2.82-2.95
Se 0.7657 0.5316 0.7500  6 Sc 2.82-2.95, 2 Tb 3.00
Sc 0.6410 0.2817 0.4564  3 Se 2.82-2.95
Tb 0.0574 0.1146 0.7500  3 Se 3.00-3.27, 4 Sc 3.33



First-principles (GGA-PBE) data for a geometry-optimized Tb2Sc2Se3 structure, as listed in the Alexandria database.

Cell: 3.8177 7.2388 6.9753 Å, 83.49 74.12 74.71°
With the nearest neighbours (Å) after each atom.
Fractional positions:
Se 0.1690 0.2504 0.4116  2 Sc 2.71, 3 Tb 2.86-2.93
Se 0.0000 0.0000 0.0000  2 Sc 2.68, 4 Tb 2.86
Tb 0.4306 0.8538 0.2850  5 Se 2.86-2.93
Tb 0.5694 0.1462 0.7150  5 Se 2.86-2.93
Sc 0.2476 0.6466 0.8583  3 Se 2.68-2.71
Se 0.8310 0.7496 0.5884  2 Sc 2.71, 3 Tb 2.86-2.93
Sc 0.7524 0.3534 0.1417  3 Se 2.68-2.71



First-principles (GGA-PBE) data for a geometry-optimized Tb2ScSe4 structure, as listed in the Alexandria database.

Output
**ΔE to the lowest computed polymorph**: 0.0 meV per atom

Cell: 8.0181 7.9570 7.9570 Å, 60.85 59.75 59.75°
With the nearest neighbours (Å) after each atom.
Fractional positions:
Tb 0.0000 0.5000 0.5000  6 Se 2.86-2.89
Tb 0.0000 0.0000 0.0000  6 Se 2.86-2.89
Se 0.7402 0.2559 0.7559  1 Sc 2.72, 3 Tb 2.85-2.86
Se 0.2598 0.7441 0.2441  1 Sc 2.72, 3 Tb 2.85-2.86
Se 0.2480 0.2559 0.7559  1 Sc 2.72, 3 Tb 2.85-2.86
Tb 0.5000 0.0000 0.5000  6 Se 2.85-2.90
Se 0.7406 0.2694 0.2493  2 Sc 2.79, 3 Tb 2.89-2.90
Se 0.2594 0.7306 0.7507  2 Sc 2.79, 3 Tb 2.89-2.90
Se 0.7406 0.7493 0.7694  2 Sc 2.79, 3 Tb 2.89-2.90
Se 0.7520 0.7441 0.2441  1 Sc 2.72, 3 Tb 2.85-2.86
Sc 0.0000 0.5000 0.0000  6 Se 2.72-2.79
Se 0.2594 0.2507 0.2306  2 Sc 2.79, 3 Tb 2.89-2.90
Tb 0.0000 0.0000 0.5000  6 Se 2.85-2.90
Sc 0.5000 0.5000 0.0000  6 Se 2.72-2.79



Number 1: total moment 0.1 μB/cell, formation energy without anion corrections -1038.8 meV per atom. Number 2: total moment 0.0 μB/cell, formation energy without anion corrections -1748.6 meV per atom. Number 3: total moment 0.0 μB/cell, formation energy without anion corrections -1617.6 meV per atom. Number 4: total moment 0.0 μB/cell, formation energy without anion corrections -799.3 meV per atom. Number 5: total moment 0.0 μB/cell, formation energy without anion corrections -1326.1 meV per atom. Number 6: total moment 0.0 μB/cell, formation energy without anion corrections -1809.4 meV per atom.